VASP calculation (PBE) on crystalline La8ZnAs3Br4 at its relaxed geometry.

Its formation energy (no corrections) is -1336 meV/atom. The density of states at the Fermi level comes out at 12.65 states/eV/f.u.

abc: 8.7999 8.7999 8.7999
angles: 59.73 59.73 59.73
Last column: nearest neighbours and their distance in Å.
Positions (direct):
La 0.2404 0.2404 0.2404  3 As 2.99, 3 Br 3.23
La 0.2407 0.7425 0.7425  2 As 3.00, 1 Zn 3.01, 3 Br 3.20-3.21
La 0.2575 0.2575 0.7593  2 As 3.00, 1 Zn 3.01, 3 Br 3.20-3.21
La 0.2575 0.7593 0.2575  2 As 3.00, 1 Zn 3.01, 3 Br 3.20-3.21
La 0.7425 0.2407 0.7425  2 As 3.00, 1 Zn 3.01, 3 Br 3.20-3.21
La 0.7425 0.7425 0.2407  2 As 3.00, 1 Zn 3.01, 3 Br 3.20-3.21
La 0.7593 0.2575 0.2575  2 As 3.00, 1 Zn 3.01, 3 Br 3.20-3.21
La 0.7596 0.7596 0.7596  3 As 2.99, 3 Br 3.23
Zn 0.5000 0.5000 0.5000  6 La 3.01
As 0.0000 0.0000 0.5000  6 La 2.99-3.00
As 0.0000 0.5000 0.0000  6 La 2.99-3.00
As 0.5000 0.0000 0.0000  6 La 2.99-3.00
Br 0.0000 0.0000 0.0000  6 La 3.20
Br 0.0000 0.5000 0.5000  6 La 3.21-3.23
Br 0.5000 0.0000 0.5000  6 La 3.21-3.23
Br 0.5000 0.5000 0.0000  6 La 3.21-3.23

=====

VASP calculation (PBE) on crystalline MgP at its relaxed geometry.

The density of states at the Fermi level comes out at 0.89 states/eV/f.u. Its polymorph energy (0 for the lowest one) is 471 meV per atom. The energy relative to the elements comes out at -0.049 eV per atom.

abc: 10.5804 10.5804 3.4102
angles: 90.00 90.00 90.00
Last column: nearest neighbours and their distance in Å.
Positions (direct):
Mg 0.0044 0.8004 0.0000  4 P 2.59-2.65
Mg 0.1298 0.4157 0.5000  4 P 2.55-2.85
Mg 0.1996 0.0044 0.0000  4 P 2.59-2.65
Mg 0.4157 0.8702 0.5000  4 P 2.55-2.85
Mg 0.5843 0.1298 0.5000  4 P 2.55-2.85
Mg 0.8004 0.9956 0.0000  4 P 2.59-2.65
Mg 0.8702 0.5843 0.5000  4 P 2.55-2.85
Mg 0.9956 0.1996 0.0000  4 P 2.59-2.65
P 0.1295 0.6568 0.5000  2 P 2.43, 3 Mg 2.55-2.64
P 0.2342 0.2522 0.0000  2 P 2.43, 4 Mg 2.59-2.67
P 0.2522 0.7658 0.0000  2 P 2.43, 4 Mg 2.59-2.67
P 0.3432 0.1295 0.5000  2 P 2.43, 3 Mg 2.55-2.64
P 0.6568 0.8705 0.5000  2 P 2.43, 3 Mg 2.55-2.64
P 0.7478 0.2342 0.0000  2 P 2.43, 4 Mg 2.59-2.67
P 0.7658 0.7478 0.0000  2 P 2.43, 4 Mg 2.59-2.67
P 0.8705 0.3432 0.5000  2 P 2.43, 3 Mg 2.55-2.64

=====

VASP calculation (PBE) on crystalline TlHgBr3 at its relaxed geometry.

Its formation energy (no corrections) is -608 meV/atom. The density of states at the Fermi level comes out at 0.00 states/eV/f.u. Its polymorph energy (0 for the lowest one) is 6 meV per atom.

abc: 8.7613 8.7613 5.0517
angles: 90.89 90.89 72.79
Last column: nearest neighbours and their distance in Å.
Positions (direct):
Tl 0.2317 0.2317 0.2019  6 Br 3.28-3.64
Tl 0.7683 0.7683 0.7981  6 Br 3.28-3.64
Hg 0.3021 0.6979 0.0000  4 Br 2.59-2.83
Hg 0.6979 0.3021 0.0000  4 Br 2.59-2.83
Br 0.0623 0.6629 0.2589  1 Hg 2.59
Br 0.3371 0.9377 0.7411  1 Hg 2.59
Br 0.3948 0.3948 0.7466  2 Hg 2.83
Br 0.6052 0.6052 0.2534  2 Hg 2.83
Br 0.6629 0.0623 0.2589  1 Hg 2.59
Br 0.9377 0.3371 0.7411  1 Hg 2.59